# 1
Pm5Nd5Ho2 | PBE-GGA | relaxed

Calculated values
energy = -56.57 eV per cell
symmetry = No. 12
D(E_F) = 18.2 states/eV per cell
ΔH_f (0 K) = 0.015 eV/atom

abc: 8.1524 8.1524 11.5233
angles: 115.11 115.11 36.80
Atoms (fractional coordinates):
1 Pm 0.0000 0.0000 0.0000
2 Pm 0.0819 0.0819 0.7494
3 Pm 0.1671 0.1671 0.5002
4 Pm 0.8329 0.8329 0.4998
5 Pm 0.9181 0.9181 0.2506
6 Nd 0.2486 0.2486 0.2494
7 Nd 0.3347 0.3347 0.0006
8 Nd 0.5000 0.5000 0.5000
9 Nd 0.6653 0.6653 0.9994
10 Nd 0.7514 0.7514 0.7506
11 Ho 0.4163 0.4163 0.7489
12 Ho 0.5837 0.5837 0.2511

=====

# 2
Pm5NdHo4 | PBE-GGA | relaxed

Calculated values
energy = -45.28 eV per cell
offset from the most stable computed form = 119 meV per atom
symmetry = No. 12
D(E_F) = 15.8 states/eV per cell
ΔH_f (0 K) = 0.156 eV/atom

abc: 9.2682 9.2682 10.5287
angles: 96.13 96.13 22.32
Atoms (fractional coordinates):
1 Pm 0.0000 0.0000 0.0000
2 Pm 0.3107 0.3107 0.9041
3 Pm 0.3577 0.3577 0.2674
4 Pm 0.6423 0.6423 0.7326
5 Pm 0.6893 0.6893 0.0959
6 Nd 0.0000 0.0000 0.5000
7 Ho 0.1834 0.1834 0.4105
8 Ho 0.4539 0.4539 0.7400
9 Ho 0.5461 0.5461 0.2600
10 Ho 0.8166 0.8166 0.5895